Compound: SmMgSiPd
Source: the Alexandria database
Functional: GGA-PBE
Structure: optimized geometry

Space group: No. 216
Calculated total energy: -4.782 eV/atom
E_form (uncorrected): -212 kJ/mol of formula units

```
SmMgSiPd
1.0
4.8345 0.0000 0.0000
2.4173 4.1868 0.0000
2.4173 1.3956 3.9474
Mg Si Pd Sm
1 1 1 1
direct
0.5000 0.5000 0.5000
0.2500 0.2500 0.2500
0.7500 0.7500 0.7500
0.0000 0.0000 0.0000
```